Record 1
The following is a GGA-PBE calculation of a relaxed structure of ReSnSbI2, from Alexandria.

Properties
**Energy relative to the elements, uncorrected**: 1.46 eV/atom
**Energy relative to the lowest polymorph listed for this composition**: 677 meV/atom
**V**: 206.85 Å³ per cell

Cell: 5.8963 5.8963 5.9498 Å, 90.00 90.00 90.00°
Each line ends with the local moment (μB).
Sites, in units of the cell vectors:
Re1 0.5000 0.5000 0.5000  4.22
I1 0.5000 0.0000 0.0000  0.00
I2 0.0000 0.5000 0.0000  0.00
Sb1 0.0000 0.0000 0.5000  -0.33
Sn1 0.0000 0.0000 0.0000  -0.01

***

Record 2
The following is a GGA-PBE calculation of a relaxed structure of CeSmGd2, from Alexandria.

Properties
**Energy relative to the lowest polymorph listed for this composition**: 125 meV/atom
**V**: 130.88 Å³ per cell

Cell: 5.6990 5.6990 5.6990 Å, 60.00 60.00 60.00°
Each line ends with the local moment (μB).
Sites, in units of the cell vectors:
Sm1 0.5000 0.5000 0.5000  0.07
Gd1 0.7500 0.7500 0.7500  7.17
Gd2 0.2500 0.2500 0.2500  7.17
Ce1 0.0000 0.0000 0.0000  -0.53

***

Record 3
The following is a GGA-PBE calculation of a relaxed structure of AcMgGa2Pt5, from Alexandria.

Properties
**Total energy**: -47.73 eV per cell
**V**: 190.94 Å³ per cell

Cell: 4.1202 4.1202 11.2479 Å, 90.00 90.00 90.00°
Sites, in units of the cell vectors:
Mg1 0.0000 0.0000 0.0000
Pt1 0.5000 0.0000 0.8447
Pt2 0.0000 0.5000 0.8447
Pt3 0.5000 0.0000 0.1553
Pt4 0.5000 0.5000 0.5000
Pt5 0.0000 0.5000 0.1553
Ga1 0.5000 0.5000 0.7200
Ga2 0.5000 0.5000 0.2800
Ac1 0.0000 0.0000 0.5000

***

Record 4
The following is a GGA-PBE calculation of a relaxed structure of PtO2F2, from Alexandria.

Properties
**Energy relative to the elements, uncorrected**: 0.96 eV/atom
**V**: 54.78 Å³ per cell

Cell: 3.8806 3.8806 3.6376 Å, 90.00 90.00 90.00°
Each line ends with the local moment (μB).
Sites, in units of the cell vectors:
F1 0.0000 0.5000 0.0000  0.09
F2 0.5000 0.0000 0.0000  0.09
Pt1 0.5000 0.5000 0.5000  1.28
O1 0.0000 0.0000 0.0000  -0.05
O2 0.0000 0.0000 0.5000  0.30

***

Record 5
The following is a GGA-PBE calculation of a relaxed structure of TbPr5Tm, from Alexandria.

Properties
**Total energy**: -63.56 eV per cell
**V**: 496.02 Å³ per cell

Cell: 6.2307 9.3810 9.1718 Å, 86.30 78.79 70.60°
Sites, in units of the cell vectors:
Pr1 0.7598 0.6995 0.0348
Pr2 0.0155 0.3701 0.3539
Pr3 0.8597 0.2806 0.7500
Pr4 0.9845 0.6299 0.6461
Pr5 0.6144 0.3701 0.1461
Pr6 0.1403 0.7194 0.2500
Pr7 0.2402 0.3005 0.9652
Pr8 0.5406 0.6995 0.4652
Pr9 0.4594 0.3005 0.5348
Pr10 0.3856 0.6299 0.8539
Tm1 0.4888 0.0224 0.2500
Tm2 0.5112 0.9776 0.7500
Tb1 0.0000 0.0000 0.5000
Tb2 0.0000 0.0000 0.0000

***

Record 6
The following is a GGA-PBE calculation of a relaxed structure of PrGdTmAl, from Alexandria.

Properties
**Total energy**: -27.40 eV per cell
**V**: 112.03 Å³ per cell

Cell: 5.4111 5.4111 5.4111 Å, 60.00 60.00 60.00°
Each line ends with the local moment (μB).
Sites, in units of the cell vectors:
Pr1 0.0000 0.0000 0.0000  0.11
Al1 0.7500 0.7500 0.7500  -0.01
Tm1 0.2500 0.2500 0.2500  0.25
Gd1 0.5000 0.5000 0.5000  7.23

***

Record 7
The following is a GGA-PBE calculation of a relaxed structure of Ni2AsW, from Alexandria.

Properties
**Total energy**: -28.66 eV per cell
**V**: 54.01 Å³ per cell

Cell: 4.6031 4.6031 2.7693 Å, 90.00 90.00 113.01°
Sites, in units of the cell vectors:
Ni1 0.0000 0.0000 0.0000
Ni2 0.5000 0.5000 0.0000
As1 0.0000 0.5000 0.5000
W1 0.5000 0.0000 0.5000

***

Record 8
The following is a GGA-PBE calculation of a relaxed structure of Sb2BrF2, from Alexandria.

Properties
**Energy relative to the elements, uncorrected**: -1.02 eV/atom
**V**: 131.08 Å³ per cell

Cell: 4.8240 4.8240 6.9460 Å, 102.43 102.43 117.10°
Sites, in units of the cell vectors:
Sb1 0.3968 0.3968 0.6691
Sb2 0.6032 0.6032 0.3309
F1 0.1547 0.8453 0.5000
F2 0.8453 0.1547 0.5000
Br1 0.0000 0.0000 0.0000